1.
YCr2Te: relaxed, PBE-GGA.

Computed properties:
distance to the lowest polymorph of the same formula	460	meV/atom
final energy	-6.84	eV/atom
symmetry	Fm-3m (225)
ΔE_f (raw)	374	meV per atom

```
YCr2Te
1.0
4.5934 -0.4140 -0.0809
2.0938 -3.0127 2.7959
1.9426 -3.8018 -1.7463
Y Cr Te
1 2 1
Cartesian
0.0000 0.0000 0.0000
2.1574 -1.8071 0.2422
6.4723 -5.4213 0.7265
4.3149 -3.6142 0.4843
```

***

2.
Y2CrTe: relaxed, PBE-GGA.

Computed properties:
distance to the lowest polymorph of the same formula	449	meV/atom
final energy	-6.42	eV/atom
symmetry	I-42d (122)
ΔE_f (raw)	7	meV per atom

```
Y2CrTe
1.0
8.1042 0.0000 0.0000
0.0000 8.1042 0.0000
4.0521 4.0521 3.3567
Cr Y Te
2 4 2
Cartesian
4.0521 4.0521 0.0000
4.0521 8.1042 1.6784
2.1019 6.0781 0.8392
6.0023 2.0260 0.8392
6.0781 6.1540 2.5175
10.1302 10.0544 2.5175
0.0000 0.0000 0.0000
8.1042 4.0521 1.6784
```

***

3.
Y2CrTe: relaxed, PBE-GGA.

Computed properties:
distance to the lowest polymorph of the same formula	618	meV/atom
final energy	-6.25	eV/atom
symmetry	F-43m (216)
ΔE_f (raw)	175	meV per atom

```
Y2CrTe
1.0
-3.4339 -1.8209 3.4173
1.5292 -1.2717 4.7780
-1.4282 2.9100 4.0346
Y Cr Te
2 1 1
Cartesian
-0.8332 -0.0457 3.0575
0.0000 0.0000 0.0000
-1.6664 -0.0913 6.1150
-2.4996 -0.1370 9.1725
```

***

4.
YCrTe2: relaxed, PBE-GGA.

Computed properties:
distance to the lowest polymorph of the same formula	216	meV/atom
final energy	-6.08	eV/atom
symmetry	I-42d (122)
ΔE_f (raw)	-491	meV per atom

```
YCrTe2
1.0
6.5034 0.0000 0.0000
0.0000 6.5034 0.0000
3.2517 3.2517 6.9231
Y Te Cr
2 4 2
Cartesian
6.5034 3.2517 3.4615
0.0000 0.0000 0.0000
4.7123 1.6258 1.7308
1.7911 4.8775 1.7308
8.1292 7.9640 5.1923
4.8775 5.0428 5.1923
3.2517 3.2517 0.0000
3.2517 6.5034 3.4615
```

***

5.
YCr3Te: relaxed, PBE-GGA.

Computed properties:
distance to the lowest polymorph of the same formula	820	meV/atom
final energy	-5.91	eV/atom
symmetry	Pm-3m (221)
ΔE_f (raw)	1789	meV per atom

```
YCr3Te
1.0
-2.1186 4.0731 2.0745
-3.9553 -2.7796 1.4182
2.2912 -1.0323 4.3666
Cr Te Y
3 1 1
Cartesian
-1.0593 2.0365 1.0373
-1.9776 -1.3898 0.7091
1.1456 -0.5162 2.1833
-1.8913 0.1306 3.9297
0.0000 0.0000 0.0000
```

***

6.
ZnCr2Te: relaxed, PBE-GGA.

Computed properties:
distance to the lowest polymorph of the same formula	109	meV/atom
final energy	-5.49	eV/atom
symmetry	Imm2 (44)
ΔE_f (raw)	423	meV per atom

```
ZnCr2Te
1.0
-1.9072 1.2479 -4.9240
-5.3283 -0.3694 -0.9555
3.3021 2.1706 3.7182
Cr Te Zn
2 1 1
Cartesian
-7.2281 0.8776 -5.8735
-1.1047 1.9281 -2.0673
-3.6271 0.4404 -2.9473
-2.8269 1.1208 -0.0925
```

***

7.
ZnCr2Te: relaxed, PBE-GGA.

Computed properties:
distance to the lowest polymorph of the same formula	128	meV/atom
final energy	-5.47	eV/atom
symmetry	F-43m (216)
ΔE_f (raw)	441	meV per atom

```
ZnCr2Te
1.0
4.6394 0.0000 0.0000
2.3197 4.0178 0.0000
2.3197 1.3393 3.7880
Te Zn Cr
1 1 2
Cartesian
4.6394 2.6785 1.8940
6.9590 4.0178 2.8410
2.3197 1.3393 0.9470
0.0000 0.0000 0.0000
```

***

8.
ZnCr2Te: relaxed, PBE-GGA.

Computed properties:
distance to the lowest polymorph of the same formula	133	meV/atom
final energy	-5.47	eV/atom
symmetry	C2/m (12)
ΔE_f (raw)	447	meV per atom

```
ZnCr2Te
1.0
-1.3566 -4.2721 0.2881
1.8611 -3.6692 1.8022
-2.1781 -0.4103 4.7922
Zn Cr Te
1 2 1
Cartesian
-0.4184 -2.0879 1.7206
-0.7877 -4.1643 3.3323
-0.0491 -0.0115 0.1089
-1.2552 -6.2636 5.1618
```

***

9.
Zn4CrTe2: relaxed, PBE-GGA.

Computed properties:
final energy	-2.57	eV/atom
symmetry	I4/mmm (139)
ΔE_f (raw)	434	meV per atom

```
Zn4CrTe2
1.0
-4.3213 -2.4583 -0.5254
2.4268 -3.8071 -2.1470
-0.0153 -6.1334 5.0382
Te Zn Cr
2 4 1
Cartesian
-0.6946 -3.9463 0.3922
-1.2153 -8.4525 1.9736
-0.3503 -5.0547 2.7468
1.2134 -1.9036 -1.0735
-1.5595 -7.3441 -0.3810
-2.1607 -1.2291 -0.2627
0.0000 0.0000 0.0000
```

***

10.
ZnCr2Te: relaxed, PBE-GGA.

Computed properties:
distance to the lowest polymorph of the same formula	170	meV/atom
final energy	-5.43	eV/atom
symmetry	R-3m (166)
ΔE_f (raw)	484	meV per atom

```
ZnCr2Te
1.0
-2.9340 -5.9570 3.2870
-3.6431 -6.4506 -0.1274
-0.4755 -7.3034 1.1545
Zn Cr Te
1 2 1
Cartesian
-5.2894 -14.7832 3.2355
-0.0211 -0.0591 0.0129
-3.5052 -9.7964 2.1441
-1.7631 -4.9277 1.0785
```

***

11.
ZnCrTe4: relaxed, PBE-GGA.

Computed properties:
final energy	-3.24	eV/atom
symmetry	F-43m (216)
ΔE_f (raw)	673	meV per atom

```
ZnCrTe4
1.0
0.0000 4.4977 4.4977
4.4977 0.0000 4.4977
4.4977 4.4977 0.0000
Te Cr Zn
4 1 1
Cartesian
5.6224 5.6224 3.3731
5.6224 3.3731 5.6224
3.3731 5.6224 5.6224
3.3731 3.3731 3.3731
0.0000 0.0000 0.0000
6.7466 6.7466 6.7466
```

***

12.
ZnCr2Te: relaxed, PBE-GGA.

Computed properties:
distance to the lowest polymorph of the same formula	124	meV/atom
final energy	-5.48	eV/atom
symmetry	Immm (71)
ΔE_f (raw)	437	meV per atom

```
ZnCr2Te
1.0
4.7623 0.0103 0.0072
1.1213 4.6284 -0.0072
-2.9555 -2.3020 2.9403
Zn Te Cr
1 1 2
Cartesian
0.5538 2.3229 1.4666
2.3743 0.0138 1.4738
2.9414 2.3191 0.0000
0.0004 0.0003 0.0000
```